A plane-wave DFT calculation with PBE was carried out for an optimized crystal structure of PrNd3Tm6. Values from VASP.

Summary:
- space group = No. 146
- formation energy (eV/atom) = 0.314

```
&SYSTEM
  ibrav = 0, nat = 10, ntyp = 3
/
ATOMIC_SPECIES
Nd 144.24 Nd.upf
Tm 168.93 Tm.upf
Pr 140.91 Pr.upf
ATOMIC_POSITIONS angstrom
Nd 1.575 5.429 2.273
Nd 2.008 10.770 4.477
Nd -0.868 10.547 4.302
Tm 2.087 11.997 1.482
Tm -0.013 9.318 7.415
Tm 2.221 7.570 4.921
Tm 0.387 8.632 1.714
Tm -0.159 13.910 3.947
Tm 1.692 12.741 7.026
Pr -0.458 15.886 6.504
CELL_PARAMETERS angstrom
-0.676 9.774 -1.357
-0.942 6.021 7.790
3.313 5.564 2.379
```

---

A plane-wave DFT calculation with PBE was carried out for an optimized crystal structure of LiY2V. Values from VASP.

Summary:
- space group = No. 122
- formation energy (eV/atom) = 0.583

```
&SYSTEM
  ibrav = 0, nat = 8, ntyp = 3
/
ATOMIC_SPECIES
V 50.94 V.upf
Y 88.91 Y.upf
Li 6.94 Li.upf
ATOMIC_POSITIONS angstrom
V 0.000 0.000 0.000
V -7.747 -1.215 -4.252
Y -8.318 -2.072 -1.508
Y -4.952 -0.541 -3.689
Y -12.899 -4.506 -3.224
Y -5.226 -3.331 1.001
Li -4.659 -2.519 -1.666
Li -7.950 -4.010 0.541
CELL_PARAMETERS angstrom
-4.456 0.276 -6.459
-4.861 -5.314 3.127
-6.380 -0.187 -0.379
```